No. 1
ThAsI | GGA-PBE | optimized geometry

Unit cell a=4.2501 b=4.2503 c=13.7454 alpha=89.98 beta=81.64 gamma=90.00
Fractional coordinates of all 6 atoms:
Th 0.5080 0.0724 0.4200
Th 0.1263 0.5726 0.1684
As 0.6150 0.0725 0.1929
As 0.0197 0.5724 0.3954
I 0.4077 0.0720 0.6359
I 0.2320 0.5718 0.9524

Output
The excess energy over the best structure of this formula in the dataset is 0.00 eV per formula unit. The value obtained for the uncorrected formation energy is -1.097 eV per atom. The calculation puts the size of the total moment at 0.0 μB/f.u. As for the electronic total energy: -5.64 eV/atom. The density of states at the Fermi level is 0.64 states/eV/atom.

No. 2
MnWAu | GGA-PBE | optimized geometry

Unit cell a=4.1845 b=4.1845 c=4.1845 alpha=60.00 beta=60.00 gamma=60.00
Site moments in Bohr magnetons follow the coordinates.
Fractional coordinates of all 3 atoms:
Au 0.5000 0.5000 0.5000  0.02
Mn 0.7500 0.7500 0.7500  1.93
W 0.0000 0.0000 0.0000  -1.06

Output
The excess energy over the best structure of this formula in the dataset is 1.40 eV per formula unit. The calculation puts the formation energy from the elements at 0.74 eV per atom. The calculation puts the size of the total moment at 0.7 μB/f.u. As for the electronic total energy: -7.73 eV/atom. The density of states at the Fermi level is 0.86 states/eV/atom.

No. 3
CsAcPaS4 | GGA-PBE | optimized geometry

Unit cell a=8.4552 b=8.9252 c=9.2509 alpha=121.21 beta=90.00 gamma=118.27
Site moments in Bohr magnetons follow the coordinates.
Fractional coordinates of all 14 atoms:
Cs 0.8618 0.7237 0.1118  0.00
Cs 0.1382 0.2763 0.8882  0.00
Ac 0.5000 0.0000 0.5000  0.01
Ac 0.5000 0.0000 0.0000  0.01
Pa 0.5000 0.5000 0.5000  0.97
Pa 0.0000 0.5000 0.5000  0.97
S 0.7343 0.4685 0.6766  -0.02
S 0.3151 0.0720 0.2860  -0.01
S 0.7569 0.0720 0.2860  -0.01
S 0.7343 0.4685 0.2920  -0.02
S 0.2657 0.5315 0.7080  -0.02
S 0.6849 0.9280 0.7140  -0.01
S 0.2431 0.9280 0.7140  -0.01
S 0.2657 0.5315 0.3234  -0.02

Output
The value obtained for the uncorrected formation energy is -1.705 eV per atom. The calculation puts the size of the total moment at 1.0 μB/f.u. As for the electronic total energy: -6.13 eV/atom. The density of states at the Fermi level is 0.77 states/eV/atom.

No. 4
CsAu | GGA-PBE | optimized geometry

Unit cell a=5.2321 b=5.2321 c=5.2321 alpha=60.00 beta=60.00 gamma=60.00
Fractional coordinates of all 2 atoms:
Cs 0.5000 0.5000 0.5000
Au 0.0000 0.0000 0.0000

Output
The excess energy over the best structure of this formula in the dataset is 0.03 eV per formula unit. The calculation puts the formation energy from the elements at -0.32 eV per atom. The calculation puts the size of the total moment at 0.0 μB/f.u. As for the electronic total energy: -2.38 eV/atom. The density of states at the Fermi level is 0.00 states/eV/atom.

No. 5
Cu5RhAu2 | GGA-PBE | optimized geometry

Unit cell a=4.0083 b=4.0083 c=7.4569 alpha=105.63 beta=105.62 gamma=89.89
Fractional coordinates of all 8 atoms:
Cu 0.1159 0.6163 0.2322
Cu 0.6163 0.1159 0.2322
Cu 0.3837 0.8841 0.7678
Cu 0.8841 0.3837 0.7678
Cu 0.0000 0.0000 0.0000
Rh 0.5000 0.5000 0.0000
Au 0.2511 0.2511 0.5021
Au 0.7489 0.7489 0.4979

Output
The calculation puts the formation energy from the elements at -0.01 eV per atom. The calculation puts the size of the total moment at 0.0 μB/f.u. As for the electronic total energy: -4.30 eV/atom. The density of states at the Fermi level is 0.26 states/eV/atom.

No. 6
CsEr2CuSe4 | GGA-PBE | optimized geometry

Unit cell a=4.1439 b=7.5832 c=14.4566 alpha=90.00 beta=90.00 gamma=105.86
Fractional coordinates of all 16 atoms:
Cs 0.1092 0.2185 0.7500
Cs 0.8908 0.7815 0.2500
Er 0.3667 0.7335 0.5631
Er 0.6333 0.2665 0.0631
Er 0.6333 0.2665 0.4369
Er 0.3667 0.7335 0.9369
Cu 0.8331 0.6663 0.7500
Cu 0.1669 0.3337 0.2500
Se 0.2571 0.5141 0.1048
Se 0.7429 0.4859 0.6048
Se 0.7429 0.4859 0.8952
Se 0.2571 0.5141 0.3952
Se 0.0000 0.0000 0.5000
Se 0.0000 0.0000 0.0000
Se 0.4226 0.8452 0.7500
Se 0.5774 0.1548 0.2500

Output
The value obtained for the uncorrected formation energy is -1.477 eV per atom. The calculation puts the size of the total moment at 0.0 μB/f.u. As for the electronic total energy: -4.98 eV/atom.

No. 7
TcSnWCl2 | GGA-PBE | optimized geometry

Unit cell a=5.1918 b=5.6579 c=5.1918 alpha=90.00 beta=90.00 gamma=90.00
Site moments in Bohr magnetons follow the coordinates.
Fractional coordinates of all 5 atoms:
Cl 0.0000 0.0000 0.5000  0.10
Cl 0.5000 0.0000 0.0000  0.08
Sn 0.0000 0.0000 0.0000  0.06
W 0.0000 0.5000 0.0000  2.69
Tc 0.5000 0.5000 0.5000  3.59

Output
The value obtained for the uncorrected formation energy is 1.746 eV per atom. The calculation puts the size of the total moment at 8.4 μB/f.u. As for the electronic total energy: -4.46 eV/atom. The density of states at the Fermi level is 0.84 states/eV/atom.

No. 8
Pm2Ho3Se6 | GGA-PBE | optimized geometry

Unit cell a=7.1076 b=7.0820 c=7.1212 alpha=80.42 beta=70.64 gamma=59.88
Fractional coordinates of all 11 atoms:
Pm 0.1650 0.6699 0.5000
Pm 0.8350 0.3301 0.5000
Ho 0.0000 0.0000 0.0000
Ho 0.3343 0.3314 0.0000
Ho 0.6657 0.6686 0.0000
Se 0.4142 0.6725 0.7580
Se 0.7406 0.0000 0.7545
Se 0.0868 0.3275 0.7580
Se 0.2594 0.0000 0.2455
Se 0.5858 0.3275 0.2420
Se 0.9132 0.6725 0.2420

Output
The excess energy over the best structure of this formula in the dataset is 0.00 eV per formula unit. The value obtained for the uncorrected formation energy is -1.870 eV per atom. The calculation puts the size of the total moment at 0.0 μB/f.u. As for the electronic total energy: -5.88 eV/atom. The density of states at the Fermi level is 0.40 states/eV/atom.

No. 9
TlPd5Pt | GGA-PBE | optimized geometry

Unit cell a=7.6727 b=5.2280 c=6.3824 alpha=114.18 beta=126.95 gamma=90.00
Fractional coordinates of all 7 atoms:
Tl 0.5858 0.5000 0.0000
Pd 0.1325 0.2554 0.5107
Pd 0.2007 0.5000 0.0000
Pd 0.6218 0.7446 0.4893
Pd 0.8978 0.2536 0.0000
Pd 0.8978 0.7464 0.0000
Pt 0.1943 0.0000 0.0000

Output
The excess energy over the best structure of this formula in the dataset is 4.39 eV per formula unit. The calculation puts the formation energy from the elements at 0.69 eV per atom. The calculation puts the size of the total moment at 0.0 μB/f.u. As for the electronic total energy: -4.22 eV/atom. The density of states at the Fermi level is 1.87 states/eV/atom.

No. 10
Na2SrTiF8 | GGA-PBE | optimized geometry

Unit cell a=4.9975 b=5.2754 c=7.1564 alpha=90.00 beta=90.00 gamma=88.89
Fractional coordinates of all 12 atoms:
Na 0.5000 0.5000 0.7489
Na 0.5000 0.5000 0.2511
Sr 0.0000 0.0000 0.5000
Ti 0.0000 0.0000 0.0000
F 0.1798 0.8173 0.1942
F 0.7331 0.7531 0.0000
F 0.8202 0.1827 0.1942
F 0.8202 0.1827 0.8058
F 0.2669 0.2469 0.0000
F 0.1798 0.8173 0.8058
F 0.6685 0.7032 0.5000
F 0.3315 0.2968 0.5000

Output
The value obtained for the uncorrected formation energy is -3.320 eV per atom. The calculation puts the size of the total moment at 0.0 μB/f.u. As for the electronic total energy: -5.59 eV/atom. The density of states at the Fermi level is 0.00 states/eV/atom.

No. 11
Ac2HoCd5 | GGA-PBE | optimized geometry

Unit cell a=5.3557 b=5.3557 c=8.7729 alpha=107.77 beta=107.77 gamma=90.00
Fractional coordinates of all 8 atoms:
Ac 0.7385 0.7385 0.4770
Ac 0.2615 0.2615 0.5230
Ho 0.0000 0.0000 0.0000
Cd 0.5000 0.5000 0.0000
Cd 0.8941 0.3941 0.7883
Cd 0.3941 0.8941 0.7883
Cd 0.1059 0.6059 0.2117
Cd 0.6059 0.1059 0.2117

Output
The calculation puts the formation energy from the elements at -0.25 eV per atom. The calculation puts the size of the total moment at 0.0 μB/f.u. As for the electronic total energy: -2.42 eV/atom. The density of states at the Fermi level is 0.83 states/eV/atom.